Na2Pb3Cl8, relaxed, DFT PBE-GGA; E_form (uncorrected) = -1337 meV/atom; total moment = 0.00 μB per formula unit; crystal system = monoclinic
1.0
6.892 -4.206 0.000
6.892 4.206 0.000
-1.308 0.000 7.314
Na Pb Cl
2 3 8
direct
0.212 0.212 0.074
0.788 0.788 0.926
0.245 0.755 0.500
0.500 0.500 0.000
0.755 0.245 0.500
0.112 0.112 0.364
0.140 0.603 0.138
0.383 0.383 0.635
0.397 0.860 0.862
0.603 0.140 0.138
0.617 0.617 0.365
0.860 0.397 0.862
0.888 0.888 0.636



NaPbCl3, relaxed, DFT PBE-GGA; E_form (uncorrected) = -1413 meV/atom; total moment = 0.00 μB per formula unit; crystal system = trigonal
1.0
3.677 2.123 6.412
-3.677 2.123 6.412
0.000 -4.246 6.412
Na Pb Cl
2 2 6
direct
0.147 0.147 0.147
0.853 0.853 0.853
0.349 0.349 0.349
0.651 0.651 0.651
0.042 0.451 0.758
0.242 0.958 0.549
0.451 0.758 0.042
0.549 0.242 0.958
0.758 0.042 0.451
0.958 0.549 0.242



Na3PbCl6, relaxed, DFT PBE-GGA; E_form (uncorrected) = -1402 meV/atom; total moment = 0.00 μB per formula unit; ΔE to the lowest computed polymorph = 0.000 eV/atom; crystal system = trigonal
1.0
6.075 3.507 4.546
-6.075 3.507 4.546
0.000 -7.014 4.546
Na Pb Cl
6 2 12
direct
0.086 0.574 0.223
0.223 0.086 0.574
0.426 0.777 0.914
0.574 0.223 0.086
0.777 0.914 0.426
0.914 0.426 0.777
0.000 0.000 0.000
0.500 0.500 0.500
0.087 0.897 0.320
0.103 0.680 0.913
0.198 0.431 0.527
0.320 0.087 0.897
0.431 0.527 0.198
0.473 0.802 0.569
0.527 0.198 0.431
0.569 0.473 0.802
0.680 0.913 0.103
0.802 0.569 0.473
0.897 0.320 0.087
0.913 0.103 0.680



Na3Pb5Cl12, relaxed, DFT PBE-GGA; E_form (uncorrected) = -1142 meV/atom; total moment = 0.00 μB per formula unit; crystal system = cubic
1.0
-8.746 8.746 8.746
8.746 -8.746 8.746
8.746 8.746 -8.746
Na Pb Cl
12 20 48
direct
0.125 0.250 0.375
0.125 0.375 0.750
0.250 0.375 0.125
0.250 0.875 0.625
0.375 0.125 0.250
0.375 0.750 0.125
0.625 0.250 0.875
0.625 0.875 0.750
0.750 0.125 0.375
0.750 0.625 0.875
0.875 0.625 0.250
0.875 0.750 0.625
0.000 0.000 0.000
0.000 0.000 0.500
0.000 0.500 0.000
0.000 0.500 0.500
0.125 0.750 0.875
0.125 0.875 0.250
0.250 0.125 0.875
0.250 0.625 0.375
0.375 0.250 0.625
0.375 0.625 0.750
0.500 0.000 0.000
0.500 0.000 0.500
0.500 0.500 0.000
0.500 0.500 0.500
0.625 0.375 0.250
0.625 0.750 0.375
0.750 0.375 0.625
0.750 0.875 0.125
0.875 0.125 0.750
0.875 0.250 0.125
0.050 0.222 0.126
0.050 0.328 0.923
0.077 0.626 0.404
0.077 0.950 0.672
0.096 0.722 0.672
0.096 0.874 0.423
0.126 0.050 0.222
0.126 0.577 0.904
0.172 0.222 0.596
0.172 0.450 0.577
0.222 0.126 0.050
0.222 0.596 0.172
0.278 0.328 0.904
0.278 0.450 0.374
0.328 0.904 0.278
0.328 0.923 0.050
0.374 0.278 0.450
0.374 0.596 0.923
0.404 0.077 0.626
0.404 0.828 0.778
0.423 0.096 0.874
0.423 0.828 0.550
0.450 0.374 0.278
0.450 0.577 0.172
0.550 0.423 0.828
0.550 0.626 0.722
0.577 0.172 0.450
0.577 0.904 0.126
0.596 0.172 0.222
0.596 0.923 0.374
0.626 0.404 0.077
0.626 0.722 0.550
0.672 0.077 0.950
0.672 0.096 0.722
0.722 0.550 0.626
0.722 0.672 0.096
0.778 0.404 0.828
0.778 0.874 0.950
0.828 0.550 0.423
0.828 0.778 0.404
0.874 0.423 0.096
0.874 0.950 0.778
0.904 0.126 0.577
0.904 0.278 0.328
0.923 0.050 0.328
0.923 0.374 0.596
0.950 0.672 0.077
0.950 0.778 0.874